{
  "formula": "Sr6Tl5Ge",
  "functional": "PBE",
  "state": "relaxed",
  "cell": [[-2.8954, -1.2529, -4.7997], [6.4430, -3.9200, -2.8635], [-1.3973, -6.7127, 6.0453]],
  "species": ["Tl", "Sr", "Sr", "Tl", "Sr", "Tl", "Sr", "Tl", "Ge", "Sr", "Sr", "Tl"],
  "frac_coords": [[0.3239, 0.0000, 0.6457], [0.8411, 0.7555, 0.6808], [0.1589, 0.2445, 0.3192], [0.6686, 0.5000, 0.3390], [0.5000, 0.2353, 0.0000], [0.6761, 0.0000, 0.3543], [0.1589, 0.7555, 0.3192], [0.0000, 0.5000, 0.0000], [0.0000, 0.0000, 0.0000], [0.5000, 0.7647, 0.0000], [0.8411, 0.2445, 0.6808], [0.3314, 0.5000, 0.6610]],
  "volume_a3_per_cell": 401.9,
  "total_energy_ev_per_atom": -2.643,
  "sg": "P2/m (10)"
}